## Ca2MgPd3 (GGA-PBE)

Data for a geometry-optimized Ca2MgPd3 structure.

Density (Mg/m³): 5.83
ΔE to the lowest computed polymorph (meV per atom): 0.0
Raw total energy (eV per atom): -4.23
E_form (eV/atom): -0.70

Structure (CIF):
```
data_Ca2MgPd3
_cell_length_a 5.359
_cell_length_b 5.359
_cell_length_c 5.359
_cell_angle_alpha 64.98
_cell_angle_beta 64.98
_cell_angle_gamma 64.98
_space_group_name_H-M_alt 'P 1'
_space_group_IT_number 1
_space_group_name_Hall 'P 1'
loop_
_atom_site_label
_atom_site_type_symbol
_atom_site_fract_x
_atom_site_fract_y
_atom_site_fract_z
Mg1 Mg 0.000 0.000 0.000
Ca1 Ca 0.373 0.373 0.373
Pd1 Pd 0.500 0.000 0.000
Ca2 Ca 0.627 0.627 0.627
Pd2 Pd 0.000 0.500 0.000
Pd3 Pd 0.000 0.000 0.500
```


## BeCo2Pb (GGA-PBE)

Data for a geometry-optimized BeCo2Pb structure.

Density (Mg/m³): 10.30
ΔE to the lowest computed polymorph (meV per atom): 175.3
Raw total energy (eV per atom): -4.94
E_form (eV/atom): 0.47

Structure (CIF):
```
data_BeCo2Pb
_cell_length_a 4.709
_cell_length_b 4.709
_cell_length_c 4.709
_cell_angle_alpha 133.59
_cell_angle_beta 133.59
_cell_angle_gamma 67.72
_space_group_name_H-M_alt 'P 1'
_space_group_IT_number 1
_space_group_name_Hall 'P 1'
loop_
_atom_site_label
_atom_site_type_symbol
_atom_site_fract_x
_atom_site_fract_y
_atom_site_fract_z
Be1 Be 0.750 0.250 0.500
Co1 Co 0.250 0.750 0.500
Pb1 Pb 0.500 0.500 0.000
Co2 Co 0.000 0.000 0.000
```


## Be2CoRu2 (GGA-PBE)

Data for a geometry-optimized Be2CoRu2 structure.

Density (Mg/m³): 8.65
ΔE to the lowest computed polymorph (meV per atom): 0.0
Raw total energy (eV per atom): -6.82
E_form (eV/atom): -0.20

Structure (CIF):
```
data_Be2CoRu2
_cell_length_a 5.949
_cell_length_b 5.949
_cell_length_c 3.029
_cell_angle_alpha 90.00
_cell_angle_beta 90.00
_cell_angle_gamma 90.00
_space_group_name_H-M_alt 'P 1'
_space_group_IT_number 1
_space_group_name_Hall 'P 1'
loop_
_atom_site_label
_atom_site_type_symbol
_atom_site_fract_x
_atom_site_fract_y
_atom_site_fract_z
Be1 Be 0.126 0.374 0.000
Ru1 Ru 0.327 0.173 0.500
Be2 Be 0.374 0.874 0.000
Ru2 Ru 0.827 0.327 0.500
Be3 Be 0.874 0.626 0.000
Co1 Co 0.500 0.500 0.000
Be4 Be 0.626 0.126 0.000
Ru3 Ru 0.673 0.827 0.500
Ru4 Ru 0.173 0.673 0.500
Co2 Co 0.000 0.000 0.000
```


## Ac6ZnCd (GGA-PBE)

Data for a geometry-optimized Ac6ZnCd structure.

Density (Mg/m³): 8.27
Raw total energy (eV per atom): -3.48
E_form (eV/atom): -0.13

Structure (CIF):
```
data_Ac6ZnCd
_cell_length_a 5.660
_cell_length_b 5.660
_cell_length_c 10.450
_cell_angle_alpha 74.29
_cell_angle_beta 74.29
_cell_angle_gamma 90.00
_space_group_name_H-M_alt 'P 1'
_space_group_IT_number 1
_space_group_name_Hall 'P 1'
loop_
_atom_site_label
_atom_site_type_symbol
_atom_site_fract_x
_atom_site_fract_y
_atom_site_fract_z
Ac1 Ac 0.104 0.604 0.793
Ac2 Ac 0.896 0.396 0.207
Ac3 Ac 0.750 0.750 0.501
Cd1 Cd 0.500 0.500 0.000
Zn1 Zn 0.000 0.000 0.000
Ac4 Ac 0.604 0.104 0.793
Ac5 Ac 0.396 0.896 0.207
Ac6 Ac 0.250 0.250 0.499
```


## BaTeI2N (GGA-PBE)

Data for a geometry-optimized BaTeI2N structure.

Density (Mg/m³): 2.68
ΔE to the lowest computed polymorph (meV per atom): 625.4
Uncorrected formation energy (eV/atom): 0.502
Raw total energy (eV per atom): -2.80

Structure (CIF):
```
data_BaTeI2N
_cell_length_a 6.782
_cell_length_b 6.782
_cell_length_c 7.177
_cell_angle_alpha 90.00
_cell_angle_beta 90.00
_cell_angle_gamma 90.00
_space_group_name_H-M_alt 'P 1'
_space_group_IT_number 1
_space_group_name_Hall 'P 1'
loop_
_atom_site_label
_atom_site_type_symbol
_atom_site_fract_x
_atom_site_fract_y
_atom_site_fract_z
N1 N 0.500 0.500 0.500
I1 I 0.500 0.000 0.000
I2 I 0.000 0.500 0.000
Te1 Te 0.000 0.000 0.500
Ba1 Ba 0.000 0.000 0.000
```


## Pr3Tm3Cd2 (GGA-PBE)

Data for a geometry-optimized Pr3Tm3Cd2 structure.

Density (Mg/m³): 7.74
Raw total energy (eV per atom): -3.77
E_form (eV/atom): -0.07

Structure (CIF):
```
data_Pr3Tm3Cd2
_cell_length_a 5.254
_cell_length_b 6.436
_cell_length_c 16.042
_cell_angle_alpha 90.00
_cell_angle_beta 90.00
_cell_angle_gamma 114.09
_space_group_name_H-M_alt 'P 1'
_space_group_IT_number 1
_space_group_name_Hall 'P 1'
loop_
_atom_site_label
_atom_site_type_symbol
_atom_site_fract_x
_atom_site_fract_y
_atom_site_fract_z
Pr1 Pr 0.269 0.537 0.750
Cd1 Cd 0.761 0.521 0.629
Tm1 Tm 0.451 0.902 0.250
Pr2 Pr 0.731 0.463 0.250
Pr3 Pr 0.038 0.077 0.894
Tm2 Tm 0.643 0.285 0.463
Tm3 Tm 0.549 0.098 0.750
Tm4 Tm 0.357 0.715 0.537
Tm5 Tm 0.357 0.715 0.963
Pr4 Pr 0.038 0.077 0.606
Cd2 Cd 0.761 0.521 0.871
Cd3 Cd 0.239 0.479 0.371
Pr5 Pr 0.962 0.923 0.106
Cd4 Cd 0.239 0.479 0.129
Pr6 Pr 0.962 0.923 0.394
Tm6 Tm 0.643 0.285 0.037
```


## MnV3Fe (GGA-PBE)

Data for a geometry-optimized MnV3Fe structure.

Density (Mg/m³): 7.25
ΔE to the lowest computed polymorph (meV per atom): 0.0
Raw total energy (eV per atom): -9.15
E_form (eV/atom): -0.15

Structure (CIF):
```
data_MnV3Fe
_cell_length_a 4.070
_cell_length_b 4.813
_cell_length_c 7.062
_cell_angle_alpha 104.18
_cell_angle_beta 90.00
_cell_angle_gamma 115.01
_space_group_name_H-M_alt 'P 1'
_space_group_IT_number 1
_space_group_name_Hall 'P 1'
loop_
_atom_site_label
_atom_site_type_symbol
_atom_site_fract_x
_atom_site_fract_y
_atom_site_fract_z
Fe1 Fe 0.344 0.689 0.448
V1 V 0.446 0.893 0.150
V2 V 0.554 0.107 0.850
V3 V 0.053 0.106 0.353
Mn1 Mn 0.850 0.700 0.951
Mn2 Mn 0.150 0.300 0.049
V4 V 0.947 0.894 0.647
V5 V 0.252 0.503 0.754
V6 V 0.748 0.497 0.246
Fe2 Fe 0.656 0.311 0.552
```


## Ca2FeSe (GGA-PBE)

Data for a geometry-optimized Ca2FeSe structure.

Density (Mg/m³): 3.61
ΔE to the lowest computed polymorph (meV per atom): 147.7
Uncorrected formation energy (eV/atom): -0.362
Raw total energy (eV per atom): -4.35

Structure (CIF):
```
data_Ca2FeSe
_cell_length_a 6.699
_cell_length_b 6.699
_cell_length_c 6.699
_cell_angle_alpha 146.92
_cell_angle_beta 142.71
_cell_angle_gamma 50.69
_space_group_name_H-M_alt 'P 1'
_space_group_IT_number 1
_space_group_name_Hall 'P 1'
loop_
_atom_site_label
_atom_site_type_symbol
_atom_site_fract_x
_atom_site_fract_y
_atom_site_fract_z
Ca1 Ca 0.730 0.230 0.500
Fe1 Fe 0.460 0.460 0.000
Ca2 Ca 0.995 0.995 0.000
Se1 Se 0.316 0.816 0.500
```


## Tb2HoTh3Te6 (GGA-PBE)

Data for a geometry-optimized Tb2HoTh3Te6 structure.

Density (Mg/m³): 8.88
Uncorrected formation energy (eV/atom): -1.144
Raw total energy (eV per atom): -5.72

Structure (CIF):
```
data_Tb2HoTh3Te6
_cell_length_a 4.255
_cell_length_b 9.176
_cell_length_c 10.186
_cell_angle_alpha 110.29
_cell_angle_beta 102.06
_cell_angle_gamma 90.00
_space_group_name_H-M_alt 'P 1'
_space_group_IT_number 1
_space_group_name_Hall 'P 1'
loop_
_atom_site_label
_atom_site_type_symbol
_atom_site_fract_x
_atom_site_fract_y
_atom_site_fract_z
Te1 Te 0.663 0.089 0.326
Th1 Th 0.833 0.167 0.666
Te2 Te 0.003 0.241 0.005
Te3 Te 0.997 0.759 0.995
Th2 Th 0.500 0.500 0.000
Th3 Th 0.167 0.833 0.334
Te4 Te 0.331 0.424 0.661
Tb1 Tb 0.833 0.667 0.666
Te5 Te 0.669 0.576 0.339
Te6 Te 0.337 0.911 0.674
Tb2 Tb 0.167 0.333 0.334
Ho1 Ho 0.500 0.000 0.000
```


## Sc2CS (GGA-PBE)

Data for a geometry-optimized Sc2CS structure.

Density (Mg/m³): 3.59
Uncorrected formation energy (eV/atom): -1.237
Raw total energy (eV per atom): -7.74

Structure (CIF):
```
data_Sc2CS
_cell_length_a 3.431
_cell_length_b 3.431
_cell_length_c 6.389
_cell_angle_alpha 74.43
_cell_angle_beta 74.43
_cell_angle_gamma 60.00
_space_group_name_H-M_alt 'P 1'
_space_group_IT_number 1
_space_group_name_Hall 'P 1'
loop_
_atom_site_label
_atom_site_type_symbol
_atom_site_fract_x
_atom_site_fract_y
_atom_site_fract_z
S1 S 0.499 0.499 0.504
Sc1 Sc 0.265 0.265 0.204
Sc2 Sc 0.068 0.068 0.797
C1 C 0.668 0.668 0.996
```


## Dy3SnPt12 (GGA-PBE)

Data for a geometry-optimized Dy3SnPt12 structure.

Density (Mg/m³): 17.70
Raw total energy (eV per atom): -6.52
E_form (eV/atom): -0.87

Structure (CIF):
```
data_Dy3SnPt12
_cell_length_a 4.111
_cell_length_b 4.111
_cell_length_c 16.360
_cell_angle_alpha 90.00
_cell_angle_beta 90.00
_cell_angle_gamma 90.00
_space_group_name_H-M_alt 'P 1'
_space_group_IT_number 1
_space_group_name_Hall 'P 1'
loop_
_atom_site_label
_atom_site_type_symbol
_atom_site_fract_x
_atom_site_fract_y
_atom_site_fract_z
Pt1 Pt 0.000 0.500 0.626
Pt2 Pt 0.500 0.000 0.878
Pt3 Pt 0.000 0.500 0.122
Pt4 Pt 0.500 0.000 0.374
Pt5 Pt 0.000 0.500 0.878
Pt6 Pt 0.500 0.000 0.626
Pt7 Pt 0.500 0.500 0.753
Pt8 Pt 0.500 0.000 0.122
Dy1 Dy 0.000 0.000 0.500
Pt9 Pt 0.000 0.500 0.374
Dy2 Dy 0.000 0.000 0.250
Pt10 Pt 0.500 0.500 0.500
Sn1 Sn 0.000 0.000 0.000
Pt11 Pt 0.500 0.500 0.000
Pt12 Pt 0.500 0.500 0.247
Dy3 Dy 0.000 0.000 0.750
```


## Hf3AlOs4 (GGA-PBE)

Data for a geometry-optimized Hf3AlOs4 structure.

Density (Mg/m³): 16.77
Raw total energy (eV per atom): -10.44
E_form (eV/atom): -0.63

Structure (CIF):
```
data_Hf3AlOs4
_cell_length_a 3.219
_cell_length_b 3.219
_cell_length_c 12.649
_cell_angle_alpha 90.00
_cell_angle_beta 90.00
_cell_angle_gamma 90.00
_space_group_name_H-M_alt 'P 1'
_space_group_IT_number 1
_space_group_name_Hall 'P 1'
loop_
_atom_site_label
_atom_site_type_symbol
_atom_site_fract_x
_atom_site_fract_y
_atom_site_fract_z
Hf1 Hf 0.500 0.500 0.239
Hf2 Hf 0.500 0.500 0.761
Al1 Al 0.500 0.500 0.000
Os1 Os 0.000 0.000 0.372
Os2 Os 0.000 0.000 0.628
Os3 Os 0.000 0.000 0.115
Hf3 Hf 0.500 0.500 0.500
Os4 Os 0.000 0.000 0.885
```